1.
# Pa3Co2 | OQMD | GGA-PBE | optimized geometry
data_Pa3Co2
_cell_length_a 6.768
_cell_length_b 6.768
_cell_length_c 6.768
_cell_angle_alpha 57.34
_cell_angle_beta 57.34
_cell_angle_gamma 57.34
_symmetry_space_group_name_H-M 'P 1'
_symmetry_Int_Tables_number 1
_symmetry_space_group_name_Hall 'P 1'
loop_
_atom_site_label
_atom_site_type_symbol
_atom_site_fract_x
_atom_site_fract_y
_atom_site_fract_z
Pa1 Pa 0.151 0.750 0.349
Pa2 Pa 0.250 0.651 0.849
Pa3 Pa 0.349 0.151 0.750
Pa4 Pa 0.651 0.849 0.250
Pa5 Pa 0.750 0.349 0.151
Pa6 Pa 0.849 0.250 0.651
Co1 Co 0.179 0.179 0.179
Co2 Co 0.321 0.321 0.321
Co3 Co 0.679 0.679 0.679
Co4 Co 0.821 0.821 0.821
# Crystal system   trigonal
# Size of the total moment   0.002 μB per atom
# Symmetry   R-3c, No. 167
# DFT formation energy   -73 meV/atom


2.
# PaCo3 | OQMD | GGA-PBE | optimized geometry
data_PaCo3
_cell_length_a 3.796
_cell_length_b 3.796
_cell_length_c 3.796
_cell_angle_alpha 90.00
_cell_angle_beta 90.00
_cell_angle_gamma 90.00
_symmetry_space_group_name_H-M 'P 1'
_symmetry_Int_Tables_number 1
_symmetry_space_group_name_Hall 'P 1'
loop_
_atom_site_label
_atom_site_type_symbol
_atom_site_fract_x
_atom_site_fract_y
_atom_site_fract_z
Pa1 Pa 0.000 0.000 0.000
Co1 Co 0.000 0.500 0.500
Co2 Co 0.500 0.000 0.500
Co3 Co 0.500 0.500 0.000
# Crystal system   cubic
# Size of the total moment   0.347 μB per atom
# Symmetry   Pm-3m, No. 221
# DFT formation energy   -323 meV/atom


3.
# PaCoPd | OQMD | GGA-PBE | optimized geometry
data_PaCoPd
_cell_length_a 4.473
_cell_length_b 4.473
_cell_length_c 4.473
_cell_angle_alpha 60.00
_cell_angle_beta 60.00
_cell_angle_gamma 60.00
_symmetry_space_group_name_H-M 'P 1'
_symmetry_Int_Tables_number 1
_symmetry_space_group_name_Hall 'P 1'
loop_
_atom_site_label
_atom_site_type_symbol
_atom_site_fract_x
_atom_site_fract_y
_atom_site_fract_z
Pa1 Pa 0.000 0.000 0.000
Co1 Co 0.750 0.750 0.750
Pd1 Pd 0.250 0.250 0.250
# Crystal system   cubic
# Size of the total moment   0.000 μB per atom
# Symmetry   F-43m, No. 216
# E above lowest polymorph   407.9 meV per atom
# DFT formation energy   175 meV/atom


4.
# PaCoPd | OQMD | GGA-PBE | optimized geometry
data_PaCoPd
_cell_length_a 4.326
_cell_length_b 4.326
_cell_length_c 4.326
_cell_angle_alpha 60.00
_cell_angle_beta 60.00
_cell_angle_gamma 60.00
_symmetry_space_group_name_H-M 'P 1'
_symmetry_Int_Tables_number 1
_symmetry_space_group_name_Hall 'P 1'
loop_
_atom_site_label
_atom_site_type_symbol
_atom_site_fract_x
_atom_site_fract_y
_atom_site_fract_z
Pa1 Pa 0.000 0.000 0.000
Co1 Co 0.250 0.250 0.250
Pd1 Pd 0.500 0.500 0.500
# Crystal system   cubic
# Size of the total moment   0.001 μB per atom
# Symmetry   F-43m, No. 216
# E above lowest polymorph   0.0 meV per atom
# DFT formation energy   -233 meV/atom


5.
# PuPaCo | OQMD | GGA-PBE | optimized geometry
data_PuPaCo
_cell_length_a 4.536
_cell_length_b 4.536
_cell_length_c 4.536
_cell_angle_alpha 60.00
_cell_angle_beta 60.00
_cell_angle_gamma 60.00
_symmetry_space_group_name_H-M 'P 1'
_symmetry_Int_Tables_number 1
_symmetry_space_group_name_Hall 'P 1'
loop_
_atom_site_label
_atom_site_type_symbol
_atom_site_fract_x
_atom_site_fract_y
_atom_site_fract_z
Pu1 Pu 0.000 0.000 0.000
Pa1 Pa 0.500 0.500 0.500
Co1 Co 0.750 0.750 0.750
# Crystal system   cubic
# Size of the total moment   1.968 μB per atom
# Symmetry   F-43m, No. 216
# DFT formation energy   107 meV/atom


6.
# RbPaCo | OQMD | GGA-PBE | optimized geometry
data_RbPaCo
_cell_length_a 4.803
_cell_length_b 4.803
_cell_length_c 4.803
_cell_angle_alpha 60.00
_cell_angle_beta 60.00
_cell_angle_gamma 60.00
_symmetry_space_group_name_H-M 'P 1'
_symmetry_Int_Tables_number 1
_symmetry_space_group_name_Hall 'P 1'
loop_
_atom_site_label
_atom_site_type_symbol
_atom_site_fract_x
_atom_site_fract_y
_atom_site_fract_z
Rb1 Rb 0.000 0.000 0.000
Pa1 Pa 0.500 0.500 0.500
Co1 Co 0.750 0.750 0.750
# Crystal system   cubic
# Size of the total moment   0.235 μB per atom
# Symmetry   F-43m, No. 216
# E above lowest polymorph   0.0 meV per atom


7.
# SmPaCo | OQMD | GGA-PBE | optimized geometry
data_SmPaCo
_cell_length_a 4.586
_cell_length_b 4.586
_cell_length_c 4.586
_cell_angle_alpha 60.00
_cell_angle_beta 60.00
_cell_angle_gamma 60.00
_symmetry_space_group_name_H-M 'P 1'
_symmetry_Int_Tables_number 1
_symmetry_space_group_name_Hall 'P 1'
loop_
_atom_site_label
_atom_site_type_symbol
_atom_site_fract_x
_atom_site_fract_y
_atom_site_fract_z
Sm1 Sm 0.000 0.000 0.000
Pa1 Pa 0.750 0.750 0.750
Co1 Co 0.500 0.500 0.500
# Crystal system   cubic
# Size of the total moment   0.002 μB per atom
# Symmetry   F-43m, No. 216
# E above lowest polymorph   0.0 meV per atom
# DFT formation energy   718 meV/atom


8.
# SrPaCo | OQMD | GGA-PBE | optimized geometry
data_SrPaCo
_cell_length_a 4.740
_cell_length_b 4.740
_cell_length_c 4.740
_cell_angle_alpha 60.00
_cell_angle_beta 60.00
_cell_angle_gamma 60.00
_symmetry_space_group_name_H-M 'P 1'
_symmetry_Int_Tables_number 1
_symmetry_space_group_name_Hall 'P 1'
loop_
_atom_site_label
_atom_site_type_symbol
_atom_site_fract_x
_atom_site_fract_y
_atom_site_fract_z
Sr1 Sr 0.000 0.000 0.000
Pa1 Pa 0.500 0.500 0.500
Co1 Co 0.750 0.750 0.750
# Crystal system   cubic
# Size of the total moment   0.441 μB per atom
# Symmetry   F-43m, No. 216
# E above lowest polymorph   0.0 meV per atom